# PaRu2C PBE-GGA optimized geometry
# * uncorrected energy: -8.897 eV per atom
# * formation enthalpy at 0 K: 0.4204 eV/atom
data_PaRu2C
_cell_length_a 4.5864
_cell_length_b 4.5864
_cell_length_c 14.3707
_cell_angle_alpha 90.00
_cell_angle_beta 90.00
_cell_angle_gamma 120.00
_space_group_name_H-M_alt 'R -3 m'
_space_group_IT_number 166
_space_group_name_Hall '-R 3 2"'
loop_
_atom_site_label
_atom_site_fract_x
_atom_site_fract_y
_atom_site_fract_z
Pa1 0.0000 0.0000 0.0000
Ru1 0.0000 0.0000 0.3719
C1 0.0000 0.0000 0.5000